DFT (GGA-PBE) results for an optimized crystal structure of ZrW3.

Values from the calculation:
For the formation energy from the elements, the calculation gives 0.57 eV per atom. The calculated volume comes out at 71.4 Å³ per cell. For the theoretical density, the calculation gives 14.94 Mg/m³. The total energy comes out at -11.282 eV/atom.

CIF file:
```
data_ZrW3
_chemical_formula_sum 'Zr1 W3'
_cell_length_a 4.149
_cell_length_b 4.149
_cell_length_c 4.149
_cell_angle_alpha 90.00
_cell_angle_beta 90.00
_cell_angle_gamma 90.00
_symmetry_space_group_name_H-M 'P m -3 m'
_symmetry_Int_Tables_number 221
_symmetry_space_group_name_Hall '-P 4 2 3'
loop_
_atom_site_label
_atom_site_fract_x
_atom_site_fract_y
_atom_site_fract_z
_atom_site_occupancy
Zr1 0.000 0.000 0.000 1
W1 0.000 0.500 0.500 1
```

=====

DFT (GGA-PBE) results for an optimized crystal structure of GeH2N.

Values from the calculation:
The calculated volume comes out at 119.5 Å³ per cell. For the theoretical density, the calculation gives 4.93 Mg/m³. As for the energy above the most stable polymorph in this dataset: 3.13 eV per formula unit. The total energy comes out at -3.513 eV/atom.

CIF file:
```
data_GeH2N
_chemical_formula_sum 'Ge4 H8 N4'
_cell_length_a 4.926
_cell_length_b 4.926
_cell_length_c 4.926
_cell_angle_alpha 90.00
_cell_angle_beta 90.00
_cell_angle_gamma 90.00
_symmetry_space_group_name_H-M 'F m -3 m'
_symmetry_Int_Tables_number 225
_symmetry_space_group_name_Hall '-F 4 2 3'
loop_
_atom_site_label
_atom_site_fract_x
_atom_site_fract_y
_atom_site_fract_z
_atom_site_occupancy
Ge1 0.000 0.000 0.000 1
H1 0.250 0.250 0.250 1
N1 0.000 0.000 0.500 1
```

=====

DFT (GGA-PBE) results for an optimized crystal structure of Ir5C.

Values from the calculation:
For the formation energy from the elements, the calculation gives 0.54 eV per atom. The calculated volume comes out at 182.1 Å³ per cell. For the theoretical density, the calculation gives 17.75 Mg/m³. As for the energy above the most stable polymorph in this dataset: 0.75 eV per formula unit. The total energy comes out at -8.381 eV/atom.

CIF file:
```
data_Ir5C
_chemical_formula_sum 'Ir10 C2'
_cell_length_a 4.049
_cell_length_b 2.775
_cell_length_c 16.201
_cell_angle_alpha 90.00
_cell_angle_beta 90.00
_cell_angle_gamma 90.00
_symmetry_space_group_name_H-M 'A m m 2'
_symmetry_Int_Tables_number 38
loop_
_symmetry_equiv_pos_as_xyz
'x,y,z'
'-x,-y,z'
'-x,y,z'
'x,-y,z'
'x,y+1/2,z+1/2'
'-x,-y+1/2,z+1/2'
'-x,y+1/2,z+1/2'
'x,-y+1/2,z+1/2'
loop_
_atom_site_label
_atom_site_fract_x
_atom_site_fract_y
_atom_site_fract_z
_atom_site_occupancy
Ir1 0.000 0.000 0.000 1
Ir2 0.000 0.000 0.284 1
Ir3 0.000 0.000 0.631 1
Ir4 0.500 0.000 0.386 1
Ir5 0.500 0.000 0.723 1
C1 0.500 0.000 0.975 1
```

=====

DFT (GGA-PBE) results for an optimized crystal structure of YTcPt2.

Values from the calculation:
For the formation energy from the elements, the calculation gives -0.44 eV per atom. The calculated volume comes out at 70.2 Å³ per cell. For the theoretical density, the calculation gives 13.66 Mg/m³. As for the energy above the most stable polymorph in this dataset: 0.01 eV per formula unit. The total energy comes out at -7.670 eV/atom.

CIF file:
```
data_YTcPt2
_chemical_formula_sum 'Y1 Tc1 Pt2'
_cell_length_a 2.924
_cell_length_b 4.681
_cell_length_c 5.125
_cell_angle_alpha 90.00
_cell_angle_beta 90.00
_cell_angle_gamma 90.00
_symmetry_space_group_name_H-M 'P m m 2'
_symmetry_Int_Tables_number 25
loop_
_symmetry_equiv_pos_as_xyz
'x,y,z'
'-x,-y,z'
'-x,y,z'
'x,-y,z'
loop_
_atom_site_label
_atom_site_fract_x
_atom_site_fract_y
_atom_site_fract_z
_atom_site_occupancy
Y1 0.000 0.000 0.000 1
Tc1 0.000 0.500 0.381 1
Pt1 0.500 0.000 0.491 1
Pt2 0.500 0.500 0.833 1
```

=====

DFT (GGA-PBE) results for an optimized crystal structure of Sm6DyHo3.

Values from the calculation:
For the formation energy from the elements, the calculation gives 0.13 eV per atom. The calculated volume comes out at 1323.7 Å³ per cell. For the theoretical density, the calculation gives 7.83 Mg/m³. As for the energy above the most stable polymorph in this dataset: 0.00 eV per formula unit. The total energy comes out at -4.538 eV/atom.

CIF file:
```
data_Sm6DyHo3
_chemical_formula_sum 'Sm24 Dy4 Ho12'
_cell_length_a 9.752
_cell_length_b 21.211
_cell_length_c 6.399
_cell_angle_alpha 90.00
_cell_angle_beta 90.00
_cell_angle_gamma 90.00
_symmetry_space_group_name_H-M 'C m c 21'
_symmetry_Int_Tables_number 36
loop_
_symmetry_equiv_pos_as_xyz
'x,y,z'
'-x,-y,z+1/2'
'-x,y,z'
'x,-y,z+1/2'
'x+1/2,y+1/2,z'
'-x+1/2,-y+1/2,z+1/2'
'-x+1/2,y+1/2,z'
'x+1/2,-y+1/2,z+1/2'
loop_
_atom_site_label
_atom_site_fract_x
_atom_site_fract_y
_atom_site_fract_z
_atom_site_occupancy
Sm1 0.000 0.016 0.000 1
Sm2 0.000 0.301 0.024 1
Sm3 0.175 0.281 0.494 1
Sm4 0.180 0.440 0.248 1
Dy1 0.000 0.159 0.804 1
Ho1 0.000 0.420 0.727 1
Ho2 0.168 0.126 0.328 1
```

=====

DFT (GGA-PBE) results for an optimized crystal structure of PmPrDy2H.

Values from the calculation:
The calculated volume comes out at 130.9 Å³ per cell. For the theoretical density, the calculation gives 7.76 Mg/m³. The total energy comes out at -4.587 eV/atom.

CIF file:
```
data_PmPrDy2H
_chemical_formula_sum 'Pm1 Pr1 Dy2 H1'
_cell_length_a 5.075
_cell_length_b 5.075
_cell_length_c 5.080
_cell_angle_alpha 90.00
_cell_angle_beta 90.00
_cell_angle_gamma 90.00
_symmetry_space_group_name_H-M 'P 4/m m m'
_symmetry_Int_Tables_number 123
_symmetry_space_group_name_Hall '-P 4 2'
loop_
_atom_site_label
_atom_site_fract_x
_atom_site_fract_y
_atom_site_fract_z
_atom_site_occupancy
Pm1 0.000 0.000 0.000 1
Pr1 0.500 0.500 0.000 1
Dy1 0.000 0.500 0.500 1
H1 0.000 0.000 0.500 1
```